Entry 1:
VASP calculation (GGA-PBE) on Cs2CoRh after structural relaxation.

abc: 5.7050 5.7050 5.7050
angles: 60.00 60.00 60.00
Positions (direct):
Rh (0.5000, 0.5000, 0.5000)
Co (0.0000, 0.0000, 0.0000)
Cs (0.7500, 0.7500, 0.7500)
Cs (0.2500, 0.2500, 0.2500)

Results
SG: No. 225
Energy of formation, eV/atom: 1.468
Magnetic moment, μB per cell: 1.81

Entry 2:
VASP calculation (GGA-PBE) on Be3P2 after structural relaxation.

abc: 11.5408 10.2991 5.4422
angles: 88.72 63.15 28.13
Positions (direct):
Be (0.6837, 0.6582, 0.5948)
Be (0.3539, 0.1461, 0.1461)
Be (0.0634, 0.5948, 0.6582)
Be (0.6552, 0.1866, 0.5663)
Be (0.5918, 0.5663, 0.1866)
Be (0.1039, 0.8961, 0.8961)
P (0.5627, 0.2884, 0.0626)
P (0.0863, 0.0626, 0.2884)
P (0.9616, 0.6873, 0.1637)
P (0.1874, 0.1637, 0.6873)

Results
SG: No. 43
Energy of formation, eV/atom: 0.205
Magnetic moment, μB per cell: 0.00

Entry 3:
VASP calculation (GGA-PBE) on PmPr2SmS4 after structural relaxation.

abc: 4.0279 7.0758 7.0464
angles: 70.94 90.00 90.00
Positions (direct):
S (0.5000, 0.2582, 0.7461)
S (0.0000, 0.2574, 0.2485)
S (0.0000, 0.7426, 0.7515)
S (0.5000, 0.7418, 0.2539)
Pm (0.5000, 0.5000, 0.0000)
Pr (0.5000, 0.0000, 0.5000)
Pr (0.0000, 0.0000, 0.0000)
Sm (0.0000, 0.5000, 0.5000)

Results
SG: No. 10
Raw formation energy, meV/atom: -2024
Magnetic moment, μB per cell: 0.00

Entry 4:
VASP calculation (GGA-PBE) on CaMg4Au after structural relaxation.

abc: 5.8412 5.8412 5.8412
angles: 60.00 60.00 60.00
Positions (direct):
Mg (0.3758, 0.3758, 0.3758)
Mg (0.8725, 0.3758, 0.3758)
Mg (0.3758, 0.3758, 0.8725)
Mg (0.3758, 0.8725, 0.3758)
Au (0.7500, 0.7500, 0.7500)
Ca (0.0000, 0.0000, 0.0000)

Results
SG: No. 216
Energy of formation, eV/atom: -0.058
Magnetic moment, μB per cell: 0.00

Entry 5:
VASP calculation (GGA-PBE) on RbTiGa after structural relaxation.

abc: 3.7817 3.3244 13.7258
angles: 91.42 90.57 90.00
Positions (direct):
Rb (0.4039, 0.5317, 0.9675)
Rb (0.8798, 0.9629, 0.3023)
Ti (0.3944, 0.5040, 0.6959)
Ti (0.8896, 0.9910, 0.5739)
Ga (0.3866, 0.4832, 0.4973)
Ga (0.8972, 0.0121, 0.7725)

Results
SG: No. 2
Energy of formation, eV/atom: 0.011
Magnetic moment, μB per cell: 0.00

Entry 6:
VASP calculation (GGA-PBE) on CaLa2Pt after structural relaxation.

abc: 4.2235 4.2235 10.0034
angles: 77.81 77.81 60.00
Positions (direct):
La (0.0552, 0.0552, 0.8345)
La (0.2774, 0.2774, 0.1678)
Pt (0.6661, 0.6661, 0.0017)
Ca (0.5013, 0.5013, 0.4961)

Results
SG: No. 160
Energy of formation, eV/atom: -0.558
Magnetic moment, μB per cell: 0.00

Entry 7:
VASP calculation (GGA-PBE) on TbPrNd4 after structural relaxation.

abc: 7.0700 7.0700 9.7939
angles: 90.00 90.00 119.74
Positions (direct):
Nd (0.3274, 0.6726, 0.0746)
Nd (0.3618, 0.1935, 0.2500)
Nd (0.6726, 0.3274, 0.9254)
Nd (0.1935, 0.3618, 0.7500)
Nd (0.6726, 0.3274, 0.5746)
Nd (0.6382, 0.8065, 0.7500)
Nd (0.8065, 0.6382, 0.2500)
Nd (0.3274, 0.6726, 0.4254)
Pr (0.8160, 0.1840, 0.2500)
Pr (0.1840, 0.8160, 0.7500)
Tb (0.0000, 0.0000, 0.0000)
Tb (0.0000, 0.0000, 0.5000)

Results
SG: No. 63
Energy of formation, eV/atom: 0.220
Magnetic moment, μB per cell: 0.00

Entry 8:
VASP calculation (GGA-PBE) on Ba2BiAuO after structural relaxation.

abc: 4.5878 7.5086 9.3849
angles: 108.88 90.00 90.00
Positions (direct):
Ba (0.2500, 0.2127, 0.9726)
Ba (0.7500, 0.7873, 0.0274)
Ba (0.2500, 0.2130, 0.3668)
Ba (0.7500, 0.7870, 0.6332)
Bi (0.7500, 0.2991, 0.6904)
Bi (0.2500, 0.7009, 0.3096)
Au (0.7500, 0.4748, 0.2450)
Au (0.2500, 0.5252, 0.7550)
O (0.7500, 0.1405, 0.1574)
O (0.2500, 0.8595, 0.8426)

Results
SG: No. 11
Raw formation energy, meV/atom: -1284
Magnetic moment, μB per cell: 0.00

Entry 9:
VASP calculation (GGA-PBE) on Hf2Au2S after structural relaxation.

abc: 6.7746 6.7746 4.3626
angles: 90.00 90.00 90.00
Positions (direct):
Hf (0.1667, 0.3333, 0.0000)
Hf (0.3333, 0.8333, 0.0000)
Hf (0.6667, 0.1667, 0.0000)
Hf (0.8333, 0.6667, 0.0000)
S (0.0000, 0.0000, 0.0000)
S (0.5000, 0.5000, 0.0000)
Au (0.8572, 0.3572, 0.5000)
Au (0.3572, 0.1428, 0.5000)
Au (0.1428, 0.6428, 0.5000)
Au (0.6428, 0.8572, 0.5000)

Results
SG: No. 127
Raw formation energy, meV/atom: -701
Magnetic moment, μB per cell: 0.00

Entry 10:
VASP calculation (GGA-PBE) on ScRhPb2 after structural relaxation.

abc: 5.0037 5.0037 5.0037
angles: 60.00 60.00 60.00
Positions (direct):
Sc (0.7500, 0.7500, 0.7500)
Rh (0.5000, 0.5000, 0.5000)
Pb (0.2500, 0.2500, 0.2500)
Pb (0.0000, 0.0000, 0.0000)

Results
SG: No. 216
Energy of formation, eV/atom: -0.116
Magnetic moment, μB per cell: 0.00

Entry 11:
VASP calculation (GGA-PBE) on SrCa2H8Os after structural relaxation.

abc: 4.9694 4.9694 6.8466
angles: 90.00 90.00 120.00
Positions (direct):
H (0.8390, 0.6779, 0.8499)
H (0.6667, 0.3333, 0.4670)
H (0.1610, 0.8390, 0.1501)
H (0.8390, 0.1610, 0.8499)
H (0.6779, 0.8390, 0.1501)
H (0.3221, 0.1610, 0.8499)
H (0.3333, 0.6667, 0.5330)
H (0.1610, 0.3221, 0.1501)
Os (0.0000, 0.0000, 0.0000)
Sr (0.0000, 0.0000, 0.5000)
Ca (0.6667, 0.3333, 0.1438)
Ca (0.3333, 0.6667, 0.8562)

Results
SG: No. 164
Total DFT energy (no corrections), eV/atom: -4.18
Magnetic moment, μB per cell: 0.00

Entry 12:
VASP calculation (GGA-PBE) on Ca2YCo after structural relaxation.

abc: 3.6604 3.9820 8.5196
angles: 76.52 90.00 90.00
Positions (direct):
Ca (0.0000, 0.0886, 0.9481)
Ca (0.5000, 0.4095, 0.3054)
Y (0.5000, 0.7355, 0.6543)
Co (0.0000, 0.2664, 0.5921)

Results
SG: No. 38
Energy of formation, eV/atom: 0.057
Magnetic moment, μB per cell: 0.00

Entry 13:
VASP calculation (GGA-PBE) on Sr2LiTl6Ag after structural relaxation.

abc: 7.6030 7.6070 7.5245
angles: 60.21 60.23 89.65
Positions (direct):
Tl (0.2657, 0.2657, 0.9888)
Tl (0.7457, 0.7456, 0.5203)
Tl (0.7343, 0.7343, 0.0112)
Tl (0.2543, 0.2544, 0.4797)
Tl (0.2606, 0.7393, 0.0000)
Tl (0.7394, 0.2607, 0.0000)
Sr (0.2495, 0.7506, 0.5000)
Sr (0.7505, 0.2494, 0.5000)
Li (0.5000, 0.5000, 0.0000)
Ag (0.0000, 0.0000, 0.0000)

Results
SG: No. 12
Energy of formation, eV/atom: -0.096
Magnetic moment, μB per cell: 0.00

Entry 14:
VASP calculation (GGA-PBE) on NdTlRh4 after structural relaxation.

abc: 5.3608 5.3608 5.3608
angles: 60.00 60.00 60.00
Positions (direct):
Tl (0.0000, 0.0000, 0.0000)
Rh (0.1230, 0.6257, 0.6257)
Rh (0.6257, 0.6257, 0.1230)
Rh (0.6257, 0.1230, 0.6257)
Rh (0.6257, 0.6257, 0.6257)
Nd (0.2500, 0.2500, 0.2500)

Results
SG: No. 216
Energy of formation, eV/atom: -0.332
Magnetic moment, μB per cell: 0.00

Entry 15:
VASP calculation (GGA-PBE) on TmMg2B2O6 after structural relaxation.

abc: 4.9501 4.9501 7.6295
angles: 90.00 90.00 120.00
Positions (direct):
O (0.3850, 0.0549, 0.1805)
O (0.0549, 0.6699, 0.8195)
O (0.9451, 0.3301, 0.1805)
O (0.3301, 0.3850, 0.8195)
O (0.6699, 0.6150, 0.1805)
O (0.6150, 0.9451, 0.8195)
Mg (0.3333, 0.6667, 0.2861)
Mg (0.6667, 0.3333, 0.7139)
B (0.3333, 0.6667, 0.8166)
B (0.6667, 0.3333, 0.1834)
Tm (0.0000, 0.0000, 0.0000)

Results
SG: No. 147
Raw formation energy, meV/atom: -2601
Magnetic moment, μB per cell: 0.43

Entry 16:
VASP calculation (GGA-PBE) on Mg2AlAu after structural relaxation.

abc: 6.7362 4.9163 3.1858
angles: 89.92 61.91 122.18
Positions (direct):
Au (0.5000, 0.5000, 0.0000)
Mg (0.0000, 0.0000, 0.0000)
Mg (0.5000, 0.0000, 0.5000)
Al (0.0000, 0.5000, 0.5000)

Results
SG: No. 12
Energy of formation, eV/atom: -0.288
Magnetic moment, μB per cell: 0.00

Entry 17:
VASP calculation (GGA-PBE) on Nd8SmTm3 after structural relaxation.

abc: 6.2780 9.6065 9.6073
angles: 110.90 109.14 49.04
Positions (direct):
Tm (0.1238, 0.1239, 0.5021)
Tm (0.8761, 0.5386, 0.1654)
Tm (0.1252, 0.4546, 0.8323)
Nd (0.3706, 0.0405, 0.1678)
Nd (0.6262, 0.9554, 0.8310)
Nd (0.6228, 0.2908, 0.1670)
Nd (0.8755, 0.2075, 0.8334)
Nd (0.1244, 0.7879, 0.1664)
Nd (0.6281, 0.6217, 0.5006)
Nd (0.3764, 0.7042, 0.8341)
Nd (0.3730, 0.3721, 0.4989)
Sm (0.8761, 0.8724, 0.4975)

Results
SG: No. 1
Energy of formation, eV/atom: 0.016
Magnetic moment, μB per cell: 0.00

Entry 18:
VASP calculation (GGA-PBE) on RuCSeN after structural relaxation.

abc: 3.7853 2.7590 6.4848
angles: 90.00 102.10 90.00
Positions (direct):
C (0.7092, 0.0000, 0.7540)
N (0.0484, 0.0000, 0.7921)
Se (0.6948, 0.5000, 0.3559)
Ru (0.3260, 0.5000, 0.6441)

Results
SG: No. 6
Raw formation energy, meV/atom: 396
Magnetic moment, μB per cell: 0.00

Entry 19:
VASP calculation (GGA-PBE) on CeGdTlAg after structural relaxation.

abc: 5.3604 5.3604 5.3604
angles: 60.00 60.00 60.00
Positions (direct):
Ce (0.2500, 0.2500, 0.2500)
Gd (0.7500, 0.7500, 0.7500)
Ag (0.5000, 0.5000, 0.5000)
Tl (0.0000, 0.0000, 0.0000)

Results
SG: No. 216
Energy of formation, eV/atom: -0.234
Magnetic moment, μB per cell: 8.61

Entry 20:
VASP calculation (GGA-PBE) on Ac5Mg6 after structural relaxation.

abc: 5.8111 7.9644 9.8541
angles: 113.85 107.18 89.99
Positions (direct):
Mg (0.8553, 0.6499, 0.7107)
Mg (0.8552, 0.0611, 0.7107)
Mg (0.5004, 0.2089, 0.0000)
Mg (0.1447, 0.3501, 0.2893)
Mg (0.4996, 0.7911, 0.0000)
Mg (0.1448, 0.9389, 0.2893)
Ac (0.3104, 0.8104, 0.6207)
Ac (0.6896, 0.1896, 0.3793)
Ac (0.0000, 0.5000, 0.0000)
Ac (0.6619, 0.6620, 0.3240)
Ac (0.3381, 0.3380, 0.6760)

Results
SG: No. 71
Energy of formation, eV/atom: 0.052
Magnetic moment, μB per cell: 0.00

Entry 21:
VASP calculation (GGA-PBE) on MnCN2 after structural relaxation.

abc: 5.7233 5.7233 5.7233
angles: 24.96 24.96 24.96
Positions (direct):
Mn (0.0000, 0.0000, 0.0000)
C (0.5000, 0.5000, 0.5000)
N (0.8885, 0.8885, 0.8885)
N (0.1115, 0.1115, 0.1115)

Results
SG: No. 166
Raw formation energy, meV/atom: 1424
Magnetic moment, μB per cell: 0.27

Entry 22:
VASP calculation (GGA-PBE) on Hf2Si4Ni3Ir after structural relaxation.

abc: 3.7732 3.7732 9.8656
angles: 90.00 90.00 90.00
Positions (direct):
Hf (0.5000, 0.0000, 0.2489)
Hf (0.0000, 0.5000, 0.7511)
Ni (0.0000, 0.0000, 0.5000)
Ni (0.0000, 0.5000, 0.1317)
Ni (0.5000, 0.0000, 0.8683)
Si (0.5000, 0.0000, 0.6455)
Si (0.0000, 0.0000, 0.0000)
Si (0.5000, 0.5000, 0.0000)
Si (0.0000, 0.5000, 0.3545)
Ir (0.5000, 0.5000, 0.5000)

Results
SG: No. 115
Raw formation energy, meV/atom: -783
Magnetic moment, μB per cell: 0.00

Entry 23:
VASP calculation (GGA-PBE) on CePr4O10 after structural relaxation.

abc: 6.9160 6.9160 6.9160
angles: 99.99 99.99 130.78
Positions (direct):
Ce (0.0000, 0.0000, 0.0000)
O (0.9513, 0.8549, 0.2900)
O (0.8549, 0.5649, 0.9035)
O (0.5649, 0.6613, 0.7100)
O (0.0487, 0.1451, 0.7100)
O (0.7500, 0.2500, 0.5000)
O (0.1451, 0.4351, 0.0965)
O (0.4351, 0.3387, 0.2900)
O (0.2500, 0.7500, 0.5000)
O (0.3387, 0.0487, 0.9035)
O (0.6613, 0.9513, 0.0965)
Pr (0.7995, 0.3997, 0.1991)
Pr (0.6003, 0.7995, 0.3998)
Pr (0.2005, 0.6003, 0.8009)
Pr (0.3997, 0.2005, 0.6002)

Results
SG: No. 87
Raw formation energy, meV/atom: -2734
Magnetic moment, μB per cell: 4.03

Entry 24:
VASP calculation (GGA-PBE) on In3Sn4Pb4 after structural relaxation.

abc: 4.8078 7.4858 9.7824
angles: 90.00 90.00 108.73
Positions (direct):
Pb (0.5941, 0.1882, 0.5000)
Pb (0.5769, 0.1538, 0.0000)
Pb (0.0975, 0.1950, 0.2541)
Pb (0.0975, 0.1950, 0.7459)
Sn (0.9135, 0.8271, 0.5000)
Sn (0.9123, 0.8246, 0.0000)
Sn (0.7612, 0.5224, 0.2553)
Sn (0.7612, 0.5224, 0.7447)
In (0.2587, 0.5173, 0.0000)
In (0.4128, 0.8255, 0.7335)
In (0.4128, 0.8255, 0.2665)

Results
SG: No. 38
Energy of formation, eV/atom: 0.054
Magnetic moment, μB per cell: 0.00

Entry 25:
VASP calculation (GGA-PBE) on In2FeCl after structural relaxation.

abc: 3.1675 3.1675 9.7788
angles: 90.00 90.00 108.04
Positions (direct):
Fe (0.5000, 0.5000, 0.7348)
In (0.5000, 0.5000, 0.2299)
In (0.0000, 0.0000, 0.9514)
Cl (0.0000, 0.0000, 0.5839)

Results
SG: No. 35
Raw formation energy, meV/atom: 5
Magnetic moment, μB per cell: 3.23